Material: Y2HfTeBr
Method: DFT, PBE
State: optimized geometry

Calculated values
As for the density: 5.1 g cm⁻³. The total DFT energy (no corrections) comes out at -4.926 eV per atom. The calculation puts the density of states at the Fermi level at 1.73 states/eV per atom. The calculation puts the size of the total moment at 1.209 μB per formula unit.

Cell lengths 5.730, 5.730, 5.550 Å; angles 90.00, 90.00, 90.00 degrees
Space group P4/mmm (No. 123)
Asymmetric unit:
Y: 0.000 0.500 0.000 (multiplicity 2)
Hf: 0.000 0.000 0.500 (multiplicity 1)
Te: 0.500 0.500 0.000 (multiplicity 1)
Br: 0.500 0.500 0.500 (multiplicity 1)